[1]
# Be2BiOs

A relaxed Be2BiOs crystal (GGA-PBEsol, the Alexandria database).

Output
Energy ... -5.4039 eV/atom
SG ... No. 141

Cell: 4.0785 4.0785 16.1449 Å, 90.00 90.00 90.00°
With the nearest neighbours (Å) after each atom.
Element x y z (fractional)
Be1 0.0000 0.0000 0.0000  2 Be 2.04, 2 Os 2.26
Be2 0.0000 0.5000 0.0000  2 Be 2.04, 2 Os 2.26
Be3 0.2500 0.2500 0.7500  2 Be 2.04, 2 Os 2.26
Be4 0.2500 0.7500 0.2500  2 Be 2.04, 2 Os 2.26
Be5 0.5000 0.0000 0.5000  2 Be 2.04, 2 Os 2.26
Be6 0.5000 0.5000 0.5000  2 Be 2.04, 2 Os 2.26
Be7 0.7500 0.2500 0.7500  2 Be 2.04, 2 Os 2.26
Be8 0.7500 0.7500 0.2500  2 Be 2.04, 2 Os 2.26
Bi1 0.0000 0.2500 0.3750  4 Os 2.88, 8 Be 3.04
Bi2 0.0000 0.7500 0.6250  4 Os 2.88, 8 Be 3.04
Bi3 0.5000 0.2500 0.1250  4 Os 2.88, 8 Be 3.04
Bi4 0.5000 0.7500 0.8750  4 Os 2.88, 8 Be 3.04
Os1 0.0000 0.2500 0.8750  4 Be 2.26
Os2 0.0000 0.7500 0.1250  4 Be 2.26
Os3 0.5000 0.2500 0.6250  4 Be 2.26
Os4 0.5000 0.7500 0.3750  4 Be 2.26

***

[2]
# Be3BiOs

A relaxed Be3BiOs crystal (GGA-PBEsol, the Alexandria database).

Output
Energy ... -5.0925 eV/atom
SG ... No. 221

Cell: 4.2979 4.2979 4.2979 Å, 90.00 90.00 90.00°
With the nearest neighbours (Å) after each atom.
Element x y z (fractional)
Be1 0.0000 0.0000 0.5000  2 Os 2.15
Be2 0.0000 0.5000 0.0000  2 Os 2.15
Be3 0.5000 0.0000 0.0000  2 Os 2.15
Bi1 0.5000 0.5000 0.5000  12 Be 3.04
Os1 0.0000 0.0000 0.0000  6 Be 2.15

***

[3]
# BeBiOsS2

A relaxed BeBiOsS2 crystal (GGA-PBEsol, the Alexandria database).

Output
Formation energy without anion corrections ... 1.086 eV/atom
SG ... No. 123

Cell: 4.1792 4.1792 4.8545 Å, 90.00 90.00 90.00°
With the nearest neighbours (Å) after each atom.
Element x y z (fractional)
Be1 0.0000 0.0000 0.0000  4 S 2.09
Bi1 0.0000 0.0000 0.5000  2 Be 2.43
Os1 0.5000 0.5000 0.5000  4 Bi 2.96, 8 S 3.20
S1 0.0000 0.5000 0.0000  2 Be 2.09
S2 0.5000 0.0000 0.0000  2 Be 2.09

***

[4]
# BeBiP3

A relaxed BeBiP3 crystal (GGA-PBEsol, the Alexandria database).

Output
Energy ... -4.6205 eV/atom
SG ... No. 221

Cell: 4.3945 4.3945 4.3945 Å, 90.00 90.00 90.00°
With the nearest neighbours (Å) after each atom.
Element x y z (fractional)
Be1 0.0000 0.0000 0.0000  6 P 2.20
Bi1 0.5000 0.5000 0.5000  12 P 3.11
P1 0.0000 0.0000 0.5000  2 Be 2.20
P2 0.0000 0.5000 0.0000  2 Be 2.20
P3 0.5000 0.0000 0.0000  2 Be 2.20

***

[5]
# BeBiP2

A relaxed BeBiP2 crystal (GGA-PBEsol, the Alexandria database).

Output
Energy ... -4.8738 eV/atom
SG ... No. 122

Cell: 5.5351 5.5351 11.0608 Å, 90.00 90.00 90.00°
With the nearest neighbours (Å) after each atom.
Element x y z (fractional)
Be1 0.0000 0.0000 0.0000  4 P 2.14
Be2 0.0000 0.5000 0.2500  4 P 2.14
Be3 0.5000 0.0000 0.7500  4 P 2.14
Be4 0.5000 0.5000 0.5000  4 P 2.14
Bi1 0.0000 0.0000 0.5000  4 P 2.72
Bi2 0.0000 0.5000 0.7500  4 P 2.72
Bi3 0.5000 0.0000 0.2500  4 P 2.72
Bi4 0.5000 0.5000 0.0000  4 P 2.72
P1 0.1588 0.2500 0.1250  2 Be 2.14
P2 0.2500 0.6588 0.3750  2 Be 2.14
P3 0.2500 0.8412 0.8750  2 Be 2.14
P4 0.3412 0.2500 0.6250  2 Be 2.14
P5 0.6588 0.7500 0.6250  2 Be 2.14
P6 0.7500 0.1588 0.8750  2 Be 2.14
P7 0.7500 0.3412 0.3750  2 Be 2.14
P8 0.8412 0.7500 0.1250  2 Be 2.14

***

[6]
# Be2TcBiPd

A relaxed Be2TcBiPd crystal (GGA-PBEsol, the Alexandria database).

Output
Energy ... -4.8576 eV/atom
SG ... No. 123

Cell: 4.1678 4.1678 5.2345 Å, 90.00 90.00 90.00°
With the nearest neighbours (Å) after each atom.
Element x y z (fractional)
Be1 0.0000 0.5000 0.0000  2 Pd 2.08
Be2 0.5000 0.0000 0.0000  2 Pd 2.08
Tc1 0.0000 0.0000 0.5000  4 Bi 2.95
Bi1 0.5000 0.5000 0.5000  2 Pd 2.62
Pd1 0.5000 0.5000 0.0000  4 Be 2.08

***

[7]
# Be3BiPt

A relaxed Be3BiPt crystal (GGA-PBEsol, the Alexandria database).

Output
Energy ... -3.0624 eV/atom
SG ... No. 221

Cell: 4.5452 4.5452 4.5452 Å, 90.00 90.00 90.00°
With the nearest neighbours (Å) after each atom.
Element x y z (fractional)
Be1 0.0000 0.0000 0.5000  2 Bi 2.27
Be2 0.0000 0.5000 0.0000  2 Bi 2.27
Be3 0.5000 0.0000 0.0000  2 Bi 2.27
Bi1 0.0000 0.0000 0.0000  6 Be 2.27
Pt1 0.5000 0.5000 0.5000  12 Be 3.21

***

[8]
# RbBe2SiBi

A relaxed RbBe2SiBi crystal (GGA-PBEsol, the Alexandria database).

Output
Formation energy without anion corrections ... 2.134 eV/atom
SG ... No. 123

Cell: 5.0006 5.0006 5.3873 Å, 90.00 90.00 90.00°
With the nearest neighbours (Å) after each atom.
Element x y z (fractional)
Rb1 0.0000 0.0000 0.0000  4 Be 2.50, 2 Si 2.69
Be1 0.0000 0.5000 0.0000  2 Rb 2.50
Be2 0.5000 0.0000 0.0000  2 Rb 2.50
Si1 0.0000 0.0000 0.5000  2 Rb 2.69
Bi1 0.5000 0.5000 0.5000  4 Si 3.54, 8 Be 3.68

***

Please write out number 6 again, unchanged.
# Be2TcBiPd

A relaxed Be2TcBiPd crystal (GGA-PBEsol, the Alexandria database).

Output
Energy ... -4.8576 eV/atom
SG ... No. 123

Cell: 4.1678 4.1678 5.2345 Å, 90.00 90.00 90.00°
With the nearest neighbours (Å) after each atom.
Element x y z (fractional)
Be1 0.0000 0.5000 0.0000  2 Pd 2.08
Be2 0.5000 0.0000 0.0000  2 Pd 2.08
Tc1 0.0000 0.0000 0.5000  4 Bi 2.95
Bi1 0.5000 0.5000 0.5000  2 Pd 2.62
Pd1 0.5000 0.5000 0.0000  4 Be 2.08

***

What did the seventh record say?
# Be3BiPt

A relaxed Be3BiPt crystal (GGA-PBEsol, the Alexandria database).

Output
Energy ... -3.0624 eV/atom
SG ... No. 221

Cell: 4.5452 4.5452 4.5452 Å, 90.00 90.00 90.00°
With the nearest neighbours (Å) after each atom.
Element x y z (fractional)
Be1 0.0000 0.0000 0.5000  2 Bi 2.27
Be2 0.0000 0.5000 0.0000  2 Bi 2.27
Be3 0.5000 0.0000 0.0000  2 Bi 2.27
Bi1 0.0000 0.0000 0.0000  6 Be 2.27
Pt1 0.5000 0.5000 0.5000  12 Be 3.21